Entry 1:
Compound: TcMo2Cl
Source: Alexandria
Functional: GGA-PBE
Structure: relaxed

Unit cell a=5.1804 b=4.9987 c=2.8955 alpha=80.15 beta=76.78 gamma=116.87
Last column: nearest neighbours and their distance in Å.
Positions (direct):
Mo 0.0000 0.0000 0.0000  4 Mo 2.66-2.90, 2 Cl 2.67, 2 Tc 2.67
Mo 0.5000 0.0000 0.5000  4 Mo 2.66-2.90, 2 Tc 2.67, 2 Cl 2.67
Tc 0.0000 0.5000 0.5000  2 Cl 2.66, 4 Mo 2.67, 2 Tc 2.90
Cl 0.5000 0.5000 0.0000  2 Tc 2.66, 4 Mo 2.67, 2 Cl 2.90

Calculated values
M_tot ... 0.00 μB per formula unit
Formation energy without anion corrections ... 0.722 eV/atom
Energy relative to the lowest polymorph listed for this composition ... 0.480 eV/atom
Fermi-level density of states ... 4.02 states/eV per cell

Entry 2:
Compound: ZnMoAu2
Source: Alexandria
Functional: GGA-PBE
Structure: relaxed

Unit cell a=2.8175 b=3.8303 c=6.1394 alpha=90.00 beta=90.00 gamma=90.00
Last column: nearest neighbours and their distance in Å.
Positions (direct):
Zn 0.5000 0.5000 0.7470  5 Au 2.78-2.96, 4 Mo 2.79, 2 Zn 2.82
Au 0.0000 0.0000 0.9809  4 Zn 2.78, 6 Au 2.82-2.95, 1 Mo 2.91
Au 0.5000 0.5000 0.2644  4 Mo 2.81, 6 Au 2.82-2.95, 1 Zn 2.96
Mo 0.0000 0.0000 0.5077  4 Zn 2.79, 5 Au 2.81-2.91, 2 Mo 2.82

Calculated values
Formation energy from the elements ... 0.164 eV per atom
M_tot ... 0.00 μB per formula unit
Fermi-level density of states ... 2.26 states/eV per cell

Entry 3:
Compound: PmAlNiAu
Source: Alexandria
Functional: GGA-PBE
Structure: relaxed

Unit cell a=4.7615 b=4.7615 c=4.7615 alpha=60.00 beta=60.00 gamma=60.00
Last column: nearest neighbours and their distance in Å.
Positions (direct):
Al 0.5000 0.5000 0.5000  4 Ni 2.92, 4 Au 2.92
Au 0.2500 0.2500 0.2500  4 Pm 2.92, 4 Al 2.92
Ni 0.7500 0.7500 0.7500  4 Al 2.92, 4 Pm 2.92
Pm 0.0000 0.0000 0.0000  4 Ni 2.92, 4 Au 2.92

Calculated values
Formation energy from the elements ... -0.428 eV per atom
M_tot ... 0.00 μB per formula unit
Fermi-level density of states ... 3.63 states/eV per cell

Entry 4:
Compound: RbBeSi2
Source: Alexandria
Functional: GGA-PBE
Structure: relaxed

Unit cell a=5.1227 b=5.1227 c=8.4012 alpha=72.25 beta=72.25 gamma=90.00
Last column: nearest neighbours and their distance in Å.
Positions (direct):
Be 0.5000 0.5000 0.0000  4 Si 2.29
Be 0.2500 0.7500 0.5000  4 Si 2.29
Rb 0.0000 0.0000 0.0000  8 Si 3.43, 4 Be 3.62
Rb 0.7500 0.2500 0.5000  8 Si 3.43, 4 Be 3.62
Si 0.3750 0.6250 0.2500  2 Be 2.29, 2 Si 2.56
Si 0.3750 0.1250 0.2500  2 Be 2.29, 2 Si 2.56
Si 0.8750 0.6250 0.7500  2 Be 2.29, 2 Si 2.56
Si 0.3750 0.6250 0.7500  2 Be 2.29, 2 Si 2.56

Calculated values
M_tot ... 0.00 μB per formula unit
Formation energy without anion corrections ... 0.423 eV/atom
Fermi-level density of states ... 5.16 states/eV per cell